Record 1
The following is a DFT calculation (GGA-PBE) of a relaxed Sr2SbClF crystal.

The structure in extended XYZ format:
```
5
Lattice="6.317 0.000 0.000 0.000 6.317 0.000 0.000 0.000 4.666" Properties=species:S:1:pos:R:3 pbc="T T T"
Sr 0.000 3.159 0.000
Sr 3.159 0.000 0.000
Sb 0.000 0.000 0.000
Cl 3.159 3.159 2.333
F 0.000 0.000 2.333
```

Output
formation energy from raw total energies	-1.28	eV/atom
space group	No. 123
final energy	-17.6	eV per cell

Record 2
The following is a DFT calculation (GGA-PBE) of a relaxed TcSbCl2F crystal.

The structure in extended XYZ format:
```
5
Lattice="5.107 0.000 0.000 0.000 5.107 0.000 0.000 0.000 5.727" Properties=species:S:1:pos:R:3 pbc="T T T"
Tc 0.000 0.000 0.000
Sb 0.000 0.000 2.864
Cl 0.000 2.554 2.864
Cl 2.554 0.000 2.864
F 2.554 2.554 0.000
```

Output
formation energy from raw total energies	0.27	eV/atom
space group	No. 123
final energy	-18.7	eV per cell

Record 3
The following is a DFT calculation (GGA-PBE) of a relaxed Sb2TeClF crystal.

The structure in extended XYZ format:
```
5
Lattice="4.996 0.000 0.000 0.000 4.996 0.000 0.000 0.000 5.035" Properties=species:S:1:pos:R:3 pbc="T T T"
Sb 0.000 2.498 0.000
Sb 2.498 0.000 0.000
Te 0.000 0.000 2.517
Cl 2.498 2.498 2.517
F 0.000 0.000 0.000
```

Output
formation energy from raw total energies	0.04	eV/atom
space group	No. 123
final energy	-14.9	eV per cell

Record 4
The following is a DFT calculation (GGA-PBE) of a relaxed SbTeCl3F6 crystal.

The structure in extended XYZ format:
```
44
Lattice="17.964 0.000 0.000 0.000 8.536 0.000 0.000 0.000 6.570" Properties=species:S:1:pos:R:3 pbc="T T T"
Sb 1.317 2.134 1.080
Sb 7.665 6.402 4.365
Sb 10.300 2.134 2.205
Sb 16.647 6.402 5.490
Te 1.876 6.402 2.466
Te 7.107 2.134 5.751
Te 10.858 6.402 0.819
Te 16.089 2.134 4.104
Cl 2.531 4.744 3.950
Cl 2.531 8.059 3.950
Cl 3.777 6.402 1.157
Cl 5.205 2.134 4.442
Cl 6.451 0.476 0.665
Cl 6.451 3.792 0.665
Cl 11.514 4.744 5.905
Cl 11.514 8.059 5.905
Cl 12.760 6.402 2.128
Cl 14.187 2.134 5.413
Cl 15.433 0.476 2.620
Cl 15.433 3.792 2.620
F 0.418 6.402 6.294
F 0.425 2.134 2.818
F 1.289 0.196 1.135
F 1.289 4.072 1.135
F 2.125 2.134 5.926
F 3.016 2.134 1.938
F 5.966 6.402 5.223
F 6.857 6.402 2.641
F 7.694 4.463 4.420
F 7.694 8.340 4.420
F 8.557 6.402 6.103
F 8.565 2.134 3.009
F 9.400 6.402 3.561
F 9.408 2.134 0.467
F 10.271 0.196 2.150
F 10.271 4.072 2.150
F 11.108 2.134 3.929
F 11.998 2.134 1.347
F 14.949 6.402 4.632
F 15.839 6.402 0.644
F 16.676 4.463 5.435
F 16.676 8.340 5.435
F 17.539 6.402 3.752
F 17.547 2.134 0.276
```

Output
formation energy from raw total energies	-1.72	eV/atom
space group	No. 62
final energy	-171.8	eV per cell

Record 5
The following is a DFT calculation (GGA-PBE) of a relaxed TlSbClF2 crystal.

The structure in extended XYZ format:
```
5
Lattice="4.405 0.000 0.000 0.000 4.405 0.000 0.000 0.000 6.140" Properties=species:S:1:pos:R:3 pbc="T T T"
Tl 0.000 0.000 0.000
Sb 0.000 0.000 3.070
Cl 2.202 2.202 3.070
F 0.000 2.202 0.000
F 2.202 0.000 0.000
```

Output
formation energy from raw total energies	-0.94	eV/atom
space group	No. 123
final energy	-16.8	eV per cell

Record 6
The following is a DFT calculation (GGA-PBE) of a relaxed ZnSbCl2F crystal.

The structure in extended XYZ format:
```
5
Lattice="5.106 0.000 0.000 0.000 5.106 0.000 0.000 0.000 5.411" Properties=species:S:1:pos:R:3 pbc="T T T"
Zn 0.000 0.000 0.000
Sb 0.000 0.000 2.705
Cl 0.000 2.553 2.705
Cl 2.553 0.000 2.705
F 2.553 2.553 0.000
```

Output
formation energy from raw total energies	-0.41	eV/atom
space group	No. 123
final energy	-13.0	eV per cell

Record 7
The following is a DFT calculation (GGA-PBE) of a relaxed ScCl3F crystal.

The structure in extended XYZ format:
```
5
Lattice="4.648 0.000 0.000 0.000 4.648 0.000 0.000 0.000 4.648" Properties=species:S:1:pos:R:3 pbc="T T T"
Sc 0.000 0.000 0.000
Cl 0.000 2.324 2.324
Cl 2.324 0.000 2.324
Cl 2.324 2.324 0.000
F 2.324 2.324 2.324
```

Output
formation energy from raw total energies	-0.35	eV/atom
space group	No. 221
final energy	-15.5	eV per cell

Record 8
The following is a DFT calculation (GGA-PBE) of a relaxed ScCl2F crystal.

The structure in extended XYZ format:
```
16
Lattice="6.493 0.000 0.000 0.000 5.688 0.000 0.000 0.000 9.874" Properties=species:S:1:pos:R:3 pbc="T T T"
Sc 1.623 0.000 1.049
Sc 1.623 2.844 3.888
Sc 4.870 0.000 8.825
Sc 4.870 2.844 5.986
Cl 0.489 1.339 9.128
Cl 0.489 1.505 5.683
Cl 2.758 4.183 5.683
Cl 2.758 4.349 9.128
Cl 3.736 1.339 0.746
Cl 3.736 1.505 4.191
Cl 6.004 4.183 4.191
Cl 6.004 4.349 0.746
F 1.188 1.422 2.469
F 2.058 4.266 2.469
F 4.435 1.422 7.406
F 5.305 4.266 7.406
```

Output
formation energy from raw total energies	-2.69	eV/atom
space group	No. 52
final energy	-90.6	eV per cell